1.
Density functional theory data (PBEsol) for a relaxed SnS crystal.

**Raw formation energy**: -0.71 eV/f.u.
**Crystal system**: orthorhombic

Cell lengths 3.7018, 11.0328, 5.6432 Å; angles 90.00, 90.00, 90.00 degrees
Space group Cmcm (No. 63)
Unique sites:
1 Sn 0.0000 0.1461 0.2500 x4
2 S 0.0000 0.1906 0.7500 x4

2.
Density functional theory data (PBEsol) for a relaxed CdBi2Au2 crystal.

**Energy of formation**: -14.6 kJ/mol of formula units
**Crystal system**: tetragonal

Cell lengths 7.3429, 7.3429, 4.3172 Å; angles 90.00, 90.00, 90.00 degrees
Space group P4/mbm (No. 127)
Unique sites:
1 Cd 0.0000 0.0000 0.0000 x2
2 Bi 0.1708 0.3292 0.5000 x4
3 Au 0.1353 0.6353 0.0000 x4

3.
Density functional theory data (PBEsol) for a relaxed ScBe3 crystal.

**Energy of formation**: 1.2 kJ/mol of formula units
**Crystal system**: orthorhombic

Cell lengths 5.7753, 9.2034, 3.6486 Å; angles 90.00, 90.00, 90.00 degrees
Space group Cmcm (No. 63)
Unique sites:
1 Sc 0.0000 0.1518 0.2500 x4
2 Be 0.0000 0.3587 0.7500 x4
3 Be 0.1861 0.4270 0.2500 x8

4.
Density functional theory data (PBEsol) for a relaxed FeNi crystal.

**Energy of formation**: 2.3 kJ/mol of formula units
**Crystal system**: monoclinic

Cell lengths 9.2347, 2.4676, 5.8713 Å; angles 90.00, 105.46, 90.00 degrees
Space group Cm (No. 8)
Unique sites:
1 Fe 0.0000 0.0000 0.0000 x2
2 Fe 0.0585 0.0000 0.6070 x2
3 Fe 0.1762 0.5000 0.3288 x2
4 Ni 0.2233 0.5000 0.9398 x2
5 Ni 0.3364 0.0000 0.6659 x2
6 Ni 0.3939 0.0000 0.2754 x2

5.
Density functional theory data (PBEsol) for a relaxed Al2AsPd2 crystal.

**Energy of formation**: -234.4 kJ/mol of formula units
**Crystal system**: tetragonal

Cell lengths 7.4885, 7.4885, 2.7883 Å; angles 90.00, 90.00, 90.00 degrees
Space group P4/mbm (No. 127)
Unique sites:
1 Al 0.1545 0.3455 0.0000 x4
2 As 0.0000 0.0000 0.0000 x2
3 Pd 0.1384 0.6384 0.5000 x4

6.
Density functional theory data (PBEsol) for a relaxed TaReAu2 crystal.

**Energy above the most stable polymorph in this dataset**: 0 meV/atom
**Energy of formation**: 47.0 kJ/mol of formula units
**Crystal system**: tetragonal

Cell lengths 4.0432, 4.0432, 7.9033 Å; angles 90.00, 90.00, 90.00 degrees
Space group I-4m2 (No. 119)
Unique sites:
1 Ta 0.0000 0.0000 0.0000 x2
2 Re 0.0000 0.5000 0.7500 x2
3 Au 0.0000 0.0000 0.5000 x2
4 Au 0.0000 0.5000 0.2500 x2

7.
Density functional theory data (PBEsol) for a relaxed LiAgCl2 crystal.

**Raw formation energy**: -4.10 eV/f.u.
**Crystal system**: monoclinic

Cell lengths 12.1702, 3.6304, 3.7126 Å; angles 90.00, 90.07, 90.00 degrees
Space group Cm (No. 8)
Unique sites:
1 Li 0.0000 0.0000 0.0000 x2
2 Ag 0.3059 0.0000 0.4976 x2
3 Cl 0.0260 0.5000 0.4995 x2
4 Cl 0.2916 0.5000 0.9976 x2

8.
Density functional theory data (PBEsol) for a relaxed Cr3GaW crystal.

**Energy of formation**: 813.2 kJ/mol of formula units
**Crystal system**: cubic

Cell lengths 4.5857, 4.5857, 4.5857 Å; angles 90.00, 90.00, 90.00 degrees
Space group Pm-3m (No. 221)
Unique sites:
1 Cr 0.0000 0.0000 0.5000 x3
2 Ga 0.5000 0.5000 0.5000 x1
3 W 0.0000 0.0000 0.0000 x1

9.
Density functional theory data (PBEsol) for a relaxed BaZr3Pb crystal.

**Energy of formation**: 748.8 kJ/mol of formula units
**Crystal system**: cubic

Cell lengths 5.2189, 5.2189, 5.2189 Å; angles 90.00, 90.00, 90.00 degrees
Space group Pm-3m (No. 221)
Unique sites:
1 Ba 0.0000 0.0000 0.0000 x1
2 Zr 0.0000 0.0000 0.5000 x3
3 Pb 0.5000 0.5000 0.5000 x1

10.
Density functional theory data (PBEsol) for a relaxed CoOs2Ru crystal.

**Energy above the most stable polymorph in this dataset**: 0 meV/atom
**Energy of formation**: 63.2 kJ/mol of formula units
**Crystal system**: tetragonal

Cell lengths 3.7098, 3.7098, 7.4966 Å; angles 90.00, 90.00, 90.00 degrees
Space group I4/mmm (No. 139)
Unique sites:
1 Co 0.0000 0.0000 0.0000 x2
2 Os 0.0000 0.5000 0.2500 x4
3 Ru 0.0000 0.0000 0.5000 x2

11.
Density functional theory data (PBEsol) for a relaxed Sr2MnNbSb crystal.

**Raw formation energy**: 4.74 eV/f.u.
**Crystal system**: tetragonal

Cell lengths 5.8062, 5.8062, 5.2509 Å; angles 90.00, 90.00, 90.00 degrees
Space group P4/mmm (No. 123)
Unique sites:
1 Sr 0.0000 0.5000 0.0000 x2
2 Mn 0.0000 0.0000 0.5000 x1
3 Nb 0.5000 0.5000 0.0000 x1
4 Sb 0.5000 0.5000 0.5000 x1

12.
Density functional theory data (PBEsol) for a relaxed K2SrBe crystal.

**Energy of formation**: 256.3 kJ/mol of formula units
**Crystal system**: tetragonal

Cell lengths 6.0311, 6.0311, 8.5682 Å; angles 90.00, 90.00, 90.00 degrees
Space group I-4m2 (No. 119)
Unique sites:
1 K 0.0000 0.0000 0.0000 x2
2 K 0.0000 0.5000 0.2500 x2
3 Sr 0.0000 0.0000 0.5000 x2
4 Be 0.0000 0.5000 0.7500 x2

Number 1: magnetization 0.000 μB/f.u., final energy -4.678 eV per atom. Number 2: magnetization 0.000 μB/f.u., final energy -3.554 eV per atom. Number 3: magnetization 0.000 μB/f.u., final energy -4.648 eV per atom. Number 4: magnetization 3.142 μB/f.u., final energy -7.549 eV per atom. Number 5: magnetization 0.000 μB/f.u., final energy -5.527 eV per atom. Number 6: magnetization 0.000 μB/f.u., final energy -8.311 eV per atom. Number 7: magnetization 0.000 μB/f.u., final energy -3.349 eV per atom. Number 8: magnetization 7.532 μB/f.u., final energy -7.889 eV per atom. Number 9: magnetization 0.005 μB/f.u., final energy -5.131 eV per atom. Number 10: magnetization 0.000 μB/f.u., final energy -10.422 eV per atom. Number 11: magnetization 5.141 μB/f.u., final energy -4.817 eV per atom. Number 12: magnetization 0.735 μB/f.u., final energy -1.363 eV per atom.